The following is a GGA-PBE calculation of a relaxed structure of CaLa3Tl4, from Alexandria.

Calculated values
Formation energy from the elements (eV per atom): -0.4296
SG: P4/mmm
Raw total energy (eV per atom): -3.711

a = 3.8065 Å, b = 3.8065 Å, c = 17.0183 Å
α = 90.00°, β = 90.00°, γ = 90.00°
Positions (direct):
Ca 0.0000 0.0000 0.0000
La 0.0000 0.0000 0.2428
La 0.0000 0.0000 0.5000
La 0.0000 0.0000 0.7572
Tl 0.5000 0.5000 0.1157
Tl 0.5000 0.5000 0.3708
Tl 0.5000 0.5000 0.6292
Tl 0.5000 0.5000 0.8843

=====

The following is a GGA-PBE calculation of a relaxed structure of Ca2LaTl2, from Alexandria.

Calculated values
ΔE to the lowest computed polymorph (meV per atom): 82
Formation energy from the elements (eV per atom): -0.2291
SG: I4/mmm
Raw total energy (eV per atom): -2.962

a = 4.8527 Å, b = 4.8527 Å, c = 14.1998 Å
α = 90.00°, β = 90.00°, γ = 90.00°
Positions (direct):
Ca 0.0000 0.5000 0.2500
Ca 0.0000 0.5000 0.7500
Ca 0.5000 0.0000 0.2500
Ca 0.5000 0.0000 0.7500
La 0.0000 0.0000 0.0000
La 0.5000 0.5000 0.5000
Tl 0.0000 0.0000 0.3989
Tl 0.0000 0.0000 0.6011
Tl 0.5000 0.5000 0.1011
Tl 0.5000 0.5000 0.8989

=====

The following is a GGA-PBE calculation of a relaxed structure of CaLa5Tl6, from Alexandria.

Calculated values
ΔE to the lowest computed polymorph (meV per atom): 4
Formation energy from the elements (eV per atom): -0.4253
SG: P-1
Raw total energy (eV per atom): -3.828

a = 5.5884 Å, b = 7.9821 Å, c = 9.7060 Å
α = 114.16°, β = 106.20°, γ = 90.06°
Positions (direct):
Ca 0.0000 0.0000 0.0000
La 0.0000 0.5000 0.0000
La 0.3332 0.3328 0.6649
La 0.3359 0.8351 0.6697
La 0.6641 0.1649 0.3303
La 0.6668 0.6672 0.3351
Tl 0.1629 0.4109 0.3277
Tl 0.1633 0.9167 0.3281
Tl 0.5003 0.2442 0.0000
Tl 0.4997 0.7558 0.0000
Tl 0.8367 0.0833 0.6719
Tl 0.8371 0.5891 0.6723

=====

The following is a GGA-PBE calculation of a relaxed structure of Ca3La2Tl4, from Alexandria.

Calculated values
ΔE to the lowest computed polymorph (meV per atom): 65
Formation energy from the elements (eV per atom): -0.3019
SG: Cmce
Raw total energy (eV per atom): -3.116

a = 10.2305 Å, b = 10.2305 Å, c = 8.4700 Å
α = 90.00°, β = 90.00°, γ = 138.86°
Positions (direct):
Ca 0.0000 0.0000 0.0000
Ca 0.0142 0.4858 0.2500
Ca 0.4858 0.0142 0.7500
Ca 0.5000 0.5000 0.5000
Ca 0.5142 0.9858 0.2500
Ca 0.9858 0.5142 0.7500
La 0.0926 0.9074 0.4108
La 0.4074 0.5926 0.9108
La 0.5926 0.4074 0.0892
La 0.9074 0.0926 0.5892
Tl 0.1632 0.8368 0.0340
Tl 0.1837 0.3163 0.2500
Tl 0.3163 0.1837 0.7500
Tl 0.3368 0.6632 0.5340
Tl 0.6632 0.3368 0.4660
Tl 0.6837 0.8163 0.2500
Tl 0.8163 0.6837 0.7500
Tl 0.8368 0.1632 0.9660

=====

The following is a GGA-PBE calculation of a relaxed structure of CaLa2Tl2, from Alexandria.

Calculated values
ΔE to the lowest computed polymorph (meV per atom): 217
Formation energy from the elements (eV per atom): -0.1463
SG: I4/mmm
Raw total energy (eV per atom): -3.464

a = 4.8677 Å, b = 4.8677 Å, c = 14.7360 Å
α = 90.00°, β = 90.00°, γ = 90.00°
Positions (direct):
Ca 0.0000 0.0000 0.0000
Ca 0.5000 0.5000 0.5000
La 0.0000 0.5000 0.2500
La 0.0000 0.5000 0.7500
La 0.5000 0.0000 0.2500
La 0.5000 0.0000 0.7500
Tl 0.0000 0.0000 0.4034
Tl 0.0000 0.0000 0.5966
Tl 0.5000 0.5000 0.0966
Tl 0.5000 0.5000 0.9034

=====

The following is a GGA-PBE calculation of a relaxed structure of Ca2LaTl5, from Alexandria.

Calculated values
Formation energy from the elements (eV per atom): -0.3412
SG: I4/mmm
Raw total energy (eV per atom): -2.936

a = 5.2831 Å, b = 5.2831 Å, c = 16.9961 Å
α = 90.00°, β = 90.00°, γ = 90.00°
Positions (direct):
Ca 0.0000 0.0000 0.2485
Ca 0.0000 0.0000 0.7515
Ca 0.5000 0.5000 0.2515
Ca 0.5000 0.5000 0.7485
La 0.0000 0.0000 0.5000
La 0.5000 0.5000 0.0000
Tl 0.0000 0.0000 0.0000
Tl 0.0000 0.5000 0.1288
Tl 0.0000 0.5000 0.3712
Tl 0.0000 0.5000 0.6288
Tl 0.0000 0.5000 0.8712
Tl 0.5000 0.0000 0.1288
Tl 0.5000 0.0000 0.3712
Tl 0.5000 0.0000 0.6288
Tl 0.5000 0.0000 0.8712
Tl 0.5000 0.5000 0.5000

=====

The following is a GGA-PBE calculation of a relaxed structure of Ca2LaTl, from Alexandria.

Calculated values
ΔE to the lowest computed polymorph (meV per atom): 83
Formation energy from the elements (eV per atom): -0.1220
SG: Pmmm
Raw total energy (eV per atom): -2.946

a = 3.6735 Å, b = 5.1618 Å, c = 7.1182 Å
α = 90.00°, β = 90.00°, γ = 90.00°
Positions (direct):
Ca 0.0000 0.0000 0.2328
Ca 0.0000 0.0000 0.7672
La 0.5000 0.5000 0.5000
Tl 0.5000 0.5000 0.0000

=====

The following is a GGA-PBE calculation of a relaxed structure of CaLa6Tl5, from Alexandria.

Calculated values
Formation energy from the elements (eV per atom): -0.3466
SG: Immm
Raw total energy (eV per atom): -3.963

a = 9.9088 Å, b = 9.9088 Å, c = 9.9088 Å
α = 146.62°, β = 132.94°, γ = 58.92°
Positions (direct):
Ca 0.0000 0.0000 0.0000
La 0.0817 0.8242 0.2575
La 0.2741 0.5000 0.7741
La 0.4333 0.1758 0.2575
La 0.5667 0.8242 0.7425
La 0.7259 0.5000 0.2259
La 0.9183 0.1758 0.7425
Tl 0.1476 0.6476 0.5000
Tl 0.3312 0.3312 0.0000
Tl 0.5000 0.0000 0.5000
Tl 0.6688 0.6688 0.0000
Tl 0.8524 0.3524 0.5000

=====

The following is a GGA-PBE calculation of a relaxed structure of CaLa3Tl2, from Alexandria.

Calculated values
Formation energy from the elements (eV per atom): -0.3449
SG: Pmc2_1
Raw total energy (eV per atom): -3.931

a = 5.6426 Å, b = 9.8266 Å, c = 7.0852 Å
α = 90.00°, β = 90.00°, γ = 90.00°
Positions (direct):
Ca 0.0000 0.0016 0.0000
Ca 0.0000 0.9984 0.5000
La 0.0000 0.3338 0.7476
La 0.0000 0.6662 0.2476
La 0.5000 0.1659 0.2515
La 0.5000 0.4982 0.9992
La 0.5000 0.5018 0.4992
La 0.5000 0.8341 0.7515
Tl 0.0000 0.3313 0.2491
Tl 0.0000 0.6687 0.7491
Tl 0.5000 0.1640 0.7503
Tl 0.5000 0.8360 0.2503

=====

The following is a GGA-PBE calculation of a relaxed structure of Ca2LaTl, from Alexandria.

Calculated values
ΔE to the lowest computed polymorph (meV per atom): 94
Formation energy from the elements (eV per atom): -0.1110
SG: R3m
Raw total energy (eV per atom): -2.935

a = 3.8172 Å, b = 3.8172 Å, c = 34.9812 Å
α = 90.00°, β = 90.00°, γ = 120.00°
Positions (direct):
Ca 0.0000 0.0000 0.0000
Ca 0.0000 0.0000 0.2393
Ca 0.3333 0.6667 0.6667
Ca 0.3333 0.6667 0.9060
Ca 0.6667 0.3333 0.3333
Ca 0.6667 0.3333 0.5727
La 0.0000 0.0000 0.7599
La 0.3333 0.6667 0.4266
La 0.6667 0.3333 0.0932
Tl 0.0000 0.0000 0.5017
Tl 0.3333 0.6667 0.1683
Tl 0.6667 0.3333 0.8350

=====

The following is a GGA-PBE calculation of a relaxed structure of Ca2LaTl3, from Alexandria.

Calculated values
Formation energy from the elements (eV per atom): -0.4378
SG: P4/mmm
Raw total energy (eV per atom): -3.109

a = 3.8610 Å, b = 3.8610 Å, c = 12.0864 Å
α = 90.00°, β = 90.00°, γ = 90.00°
Positions (direct):
Ca 0.0000 0.0000 0.1600
Ca 0.0000 0.0000 0.8400
La 0.0000 0.0000 0.5000
Tl 0.5000 0.5000 0.0000
Tl 0.5000 0.5000 0.3243
Tl 0.5000 0.5000 0.6757

=====

The following is a GGA-PBE calculation of a relaxed structure of Ca2LaTl, from Alexandria.

Calculated values
ΔE to the lowest computed polymorph (meV per atom): 70
Formation energy from the elements (eV per atom): -0.1355
SG: P2/m
Raw total energy (eV per atom): -2.960

a = 3.7277 Å, b = 5.3243 Å, c = 7.0381 Å
α = 90.00°, β = 100.81°, γ = 90.00°
Positions (direct):
Ca 0.0948 0.0000 0.2697
Ca 0.9052 0.0000 0.7303
La 0.5000 0.5000 0.0000
Tl 0.5000 0.5000 0.5000

=====

- Among the records above, which one has the lowest raw total energy?
  CaLa6Tl5

=====

- What is the formation energy from the elements in the fourth record?
  -0.3019 eV per atom

=====

- Look up the formation energy from the elements of the tenth one.
  -0.1110 eV per atom

=====

- Look up the formation energy from the elements of the fifth one.
  -0.1463 eV per atom